Entry 1:
NaNb3Ir GGA-PBEsol relaxed; formation energy from the elements = 1069 meV/atom; raw total energy = -7.669 eV per atom; magnetic moment = 0.00 μB per cell; density = 6.98 Mg/m³
1.0
4.898 0.000 0.000
0.000 4.898 0.000
0.000 0.000 4.898
Na Nb Ir
1 3 1
Direct
0.500 0.500 0.500
0.500 0.000 0.000
0.000 0.000 0.500
0.000 0.500 0.000
0.000 0.000 0.000

***

Entry 2:
KIrPb GGA-PBEsol relaxed; formation energy from the elements = 657 meV/atom; raw total energy = -4.328 eV per atom; magnetic moment = 0.00 μB per cell; density = 9.51 Mg/m³
1.0
4.766 0.000 0.000
2.383 4.128 0.000
2.383 1.376 3.892
Pb K Ir
1 1 1
Direct
0.500 0.500 0.500
0.000 0.000 0.000
0.250 0.250 0.250

***

Entry 3:
SiSe3I GGA-PBEsol relaxed; raw total energy = -3.487 eV per atom; magnetic moment = 0.00 μB per cell; density = 5.71 Mg/m³; raw formation energy = 157 kJ/mol of formula units
1.0
4.848 0.000 0.000
0.000 4.848 0.000
0.000 0.000 4.848
Si I Se
1 1 3
Direct
0.000 0.000 0.000
0.500 0.500 0.500
0.000 0.000 0.500
0.000 0.500 0.000
0.500 0.000 0.000

***

Entry 4:
LiAg2As GGA-PBEsol relaxed; formation energy from the elements = -155 meV/atom; raw total energy = -3.579 eV per atom; magnetic moment = 0.00 μB per cell; density = 7.55 Mg/m³
1.0
-2.725 -2.202 -2.861
-1.472 -4.153 1.023
-4.345 -0.660 1.070
Ag As Li
2 1 1
Direct
0.750 0.750 0.750
0.000 0.000 0.000
0.500 0.500 0.500
0.250 0.250 0.250

***

Calculated N(E_F) in order - 5.033, 1.476, 5.322, 1.058 states/eV/cell